Entry 1:
TaSi3I: optimized geometry, GGA-PBE.

Cell: 5.032 5.032 5.032 Å, 90.00 90.00 90.00°
Element x y z (fractional)
Ta1 0.000 0.000 0.000
Si1 0.000 0.000 0.500
Si2 0.000 0.500 0.000
Si3 0.500 0.000 0.000
I1 0.500 0.500 0.500

magnetic moment	0.00	μB/cell
uncorrected energy	-26.0	eV per formula unit
relative energy among the computed polymorphs	0.00	eV per formula unit
symmetry	Pm-3m, No. 221
energy relative to the elements, uncorrected	3.7	eV per formula unit
Fermi-level density of states	10.26	states/eV/cell

=====

Entry 2:
PAu2Br: optimized geometry, GGA-PBE.

Cell: 7.819 7.819 7.819 Å, 152.71 152.71 38.98°
Element x y z (fractional)
P1 0.000 0.000 0.000
Au1 0.250 0.750 0.500
Au2 0.500 0.500 0.000
Br1 0.750 0.250 0.500

magnetic moment	0.88	μB/cell
uncorrected energy	-11.6	eV per formula unit
relative energy among the computed polymorphs	1.68	eV per formula unit
symmetry	I-4m2, No. 119
energy relative to the elements, uncorrected	2.0	eV per formula unit
Fermi-level density of states	1.88	states/eV/cell

=====

Entry 3:
LaBi2I: optimized geometry, GGA-PBE.

Cell: 5.767 5.767 5.767 Å, 60.00 60.00 60.00°
Element x y z (fractional)
La1 0.000 0.000 0.000
Bi1 0.250 0.250 0.250
Bi2 0.750 0.750 0.750
I1 0.500 0.500 0.500

magnetic moment	0.00	μB/cell
uncorrected energy	-14.7	eV per formula unit
relative energy among the computed polymorphs	1.70	eV per formula unit
symmetry	Fm-3m, No. 225
energy relative to the elements, uncorrected	-0.5	eV per formula unit
Fermi-level density of states	5.11	states/eV/cell

=====

Entry 4:
RbAlSn: optimized geometry, GGA-PBE.

Cell: 4.655 5.957 8.086 Å, 90.00 90.00 90.00°
Element x y z (fractional)
Rb1 0.000 0.000 0.000
Rb2 0.500 0.000 0.500
Al1 0.000 0.500 0.340
Al2 0.000 0.500 0.660
Sn1 0.500 0.500 0.177
Sn2 0.500 0.500 0.823

magnetic moment	0.00	μB/cell
uncorrected energy	-8.9	eV per formula unit
symmetry	Pmmm, No. 47
Fermi-level density of states	0.71	states/eV/cell
DFT formation energy	-60	meV per atom

=====

Please write out number 1 again, unchanged.
TaSi3I: optimized geometry, GGA-PBE.

Cell: 5.032 5.032 5.032 Å, 90.00 90.00 90.00°
Element x y z (fractional)
Ta1 0.000 0.000 0.000
Si1 0.000 0.000 0.500
Si2 0.000 0.500 0.000
Si3 0.500 0.000 0.000
I1 0.500 0.500 0.500

magnetic moment	0.00	μB/cell
uncorrected energy	-26.0	eV per formula unit
relative energy among the computed polymorphs	0.00	eV per formula unit
symmetry	Pm-3m, No. 221
energy relative to the elements, uncorrected	3.7	eV per formula unit
Fermi-level density of states	10.26	states/eV/cell

=====

What did the third record say?
LaBi2I: optimized geometry, GGA-PBE.

Cell: 5.767 5.767 5.767 Å, 60.00 60.00 60.00°
Element x y z (fractional)
La1 0.000 0.000 0.000
Bi1 0.250 0.250 0.250
Bi2 0.750 0.750 0.750
I1 0.500 0.500 0.500

magnetic moment	0.00	μB/cell
uncorrected energy	-14.7	eV per formula unit
relative energy among the computed polymorphs	1.70	eV per formula unit
symmetry	Fm-3m, No. 225
energy relative to the elements, uncorrected	-0.5	eV per formula unit
Fermi-level density of states	5.11	states/eV/cell